1.
# Dy12ErSc3

Crystalline Dy12ErSc3 at its relaxed geometry (PBE, Alexandria).

Space group ... No. 123
VASP energy ... -4.8887 eV per atom
Energy of formation ... 0.035 eV per atom
Volume ... 480 Å³/cell
M_tot ... 0.0 μB/f.u.

a b c (Å): 4.9359 4.9359 19.6957
angles (deg): 90.00 90.00 90.00
Fractional coordinates of all 16 atoms:
Dy1 0.0000 0.0000 0.0000
Dy2 0.0000 0.0000 0.2476
Dy3 0.0000 0.0000 0.5000
Dy4 0.0000 0.0000 0.7524
Dy5 0.0000 0.5000 0.1239
Dy6 0.0000 0.5000 0.3719
Dy7 0.0000 0.5000 0.6281
Dy8 0.0000 0.5000 0.8761
Dy9 0.5000 0.0000 0.1239
Dy10 0.5000 0.0000 0.3719
Dy11 0.5000 0.0000 0.6281
Dy12 0.5000 0.0000 0.8761
Er1 0.5000 0.5000 0.5000
Sc1 0.5000 0.5000 0.0000
Sc2 0.5000 0.5000 0.2481
Sc3 0.5000 0.5000 0.7519

2.
# CaHgCl3

Crystalline CaHgCl3 at its relaxed geometry (PBE, Alexandria).

Space group ... No. 221
VASP energy ... -2.8964 eV per atom
Uncorrected formation energy ... -641 kJ/mol of formula units
Volume ... 154 Å³/cell
M_tot ... 0.0 μB/f.u.
E above lowest polymorph ... 0.00 eV per formula unit

a b c (Å): 5.3551 5.3551 5.3551
angles (deg): 90.00 90.00 90.00
Fractional coordinates of all 5 atoms:
Ca1 0.0000 0.0000 0.0000
Hg1 0.5000 0.5000 0.5000
Cl1 0.0000 0.0000 0.5000
Cl2 0.0000 0.5000 0.0000
Cl3 0.5000 0.0000 0.0000

3.
# Tl6Cd2Au

Crystalline Tl6Cd2Au at its relaxed geometry (PBE, Alexandria).

Space group ... No. 12
VASP energy ... -2.1073 eV per atom
Energy of formation ... 0.038 eV per atom
Volume ... 260 Å³/cell
M_tot ... 0.0 μB/f.u.

a b c (Å): 6.2561 6.2561 9.2035
angles (deg): 96.64 96.64 46.63
Fractional coordinates of all 9 atoms:
Tl1 0.0532 0.0532 0.3204
Tl2 0.2581 0.2581 0.7176
Tl3 0.3602 0.3602 0.0671
Tl4 0.6398 0.6398 0.9329
Tl5 0.7419 0.7419 0.2824
Tl6 0.9468 0.9468 0.6796
Cd1 0.3792 0.3792 0.4219
Cd2 0.6208 0.6208 0.5781
Au1 0.0000 0.0000 0.0000

4.
# K2ZnIr

Crystalline K2ZnIr at its relaxed geometry (PBE, Alexandria).

Space group ... No. 166
VASP energy ... -2.3432 eV per atom
Energy of formation ... 0.739 eV per atom
Volume ... 92 Å³/cell
M_tot ... 0.2 μB/f.u.

a b c (Å): 11.5386 11.5386 11.5386
angles (deg): 15.21 15.21 15.21
Fractional coordinates of all 4 atoms:
K1 0.2430 0.2430 0.2430
K2 0.7570 0.7570 0.7570
Zn1 0.0000 0.0000 0.0000
Ir1 0.5000 0.5000 0.5000

5.
# Nd2PtO5

Crystalline Nd2PtO5 at its relaxed geometry (PBE, Alexandria).

Space group ... No. 107
VASP energy ... -6.9776 eV per atom
Uncorrected formation energy ... -1491 kJ/mol of formula units
Volume ... 110 Å³/cell
M_tot ... 0.0 μB/f.u.

a b c (Å): 5.2717 5.2717 5.2717
angles (deg): 115.42 115.42 98.14
Fractional coordinates of all 8 atoms:
Nd1 0.0000 0.5000 0.5000
Nd2 0.5000 0.0000 0.5000
Pt1 0.2181 0.2181 0.0000
O1 0.4881 0.4881 0.5011
O2 0.4881 0.9870 0.0000
O3 0.4952 0.4952 0.0000
O4 0.9870 0.4881 0.0000
O5 0.9870 0.9870 0.4989

6.
# CsRb2VI6

Crystalline CsRb2VI6 at its relaxed geometry (PBE, Alexandria).

Space group ... No. 146
VASP energy ... -3.1616 eV per atom
Uncorrected formation energy ... -1004 kJ/mol of formula units
Volume ... 511 Å³/cell
M_tot ... 2.0 μB/f.u.

a b c (Å): 9.0469 9.0469 9.0469
angles (deg): 58.91 58.91 58.91
Fractional coordinates of all 10 atoms:
Cs1 0.0000 0.0000 0.0000
Rb1 0.2811 0.2811 0.2811
Rb2 0.7914 0.7914 0.7914
V1 0.4928 0.4928 0.4928
I1 0.1805 0.6868 0.3891
I2 0.2861 0.6037 0.8017
I3 0.3891 0.1805 0.6868
I4 0.6037 0.8017 0.2861
I5 0.6868 0.3891 0.1805
I6 0.8017 0.2861 0.6037

7.
# La2YMo

Crystalline La2YMo at its relaxed geometry (PBE, Alexandria).

Space group ... No. 71
VASP energy ... -6.4861 eV per atom
Energy of formation ... 0.301 eV per atom
Volume ... 114 Å³/cell
M_tot ... 0.0 μB/f.u.
E above lowest polymorph ... 0.02 eV per formula unit

a b c (Å): 6.4418 6.4418 6.4418
angles (deg): 146.66 128.22 62.99
Fractional coordinates of all 4 atoms:
La1 0.2007 0.2007 0.0000
La2 0.7993 0.7993 0.0000
Y1 0.5000 0.0000 0.5000
Mo1 0.0000 0.5000 0.5000

8.
# LiDyGa

Crystalline LiDyGa at its relaxed geometry (PBE, Alexandria).

Space group ... No. 107
VASP energy ... -3.4014 eV per atom
Energy of formation ... -0.221 eV per atom
Volume ... 64 Å³/cell
M_tot ... 0.2 μB/f.u.
E above lowest polymorph ... 0.55 eV per formula unit

a b c (Å): 5.8766 5.8766 5.8766
angles (deg): 145.78 145.78 49.18
Fractional coordinates of all 3 atoms:
Li1 0.0000 0.0000 0.0000
Dy1 0.2933 0.2933 0.0000
Ga1 0.6158 0.6158 0.0000

9.
# HfRu

Crystalline HfRu at its relaxed geometry (PBE, Alexandria).

Space group ... No. 87
VASP energy ... -9.8702 eV per atom
Energy of formation ... -0.256 eV per atom
Volume ... 147 Å³/cell
M_tot ... 0.0 μB/f.u.

a b c (Å): 6.1388 6.1388 6.1388
angles (deg): 97.76 97.76 136.87
Fractional coordinates of all 8 atoms:
Hf1 0.0116 0.7029 0.7145
Hf2 0.2971 0.0116 0.3088
Hf3 0.7029 0.9884 0.6912
Hf4 0.9884 0.2971 0.2855
Ru1 0.3230 0.3585 0.6815
Ru2 0.3585 0.6770 0.0354
Ru3 0.6415 0.3230 0.9646
Ru4 0.6770 0.6415 0.3185

10.
# Er2Fe17B3

Crystalline Er2Fe17B3 at its relaxed geometry (PBE, Alexandria).

Space group ... No. 166
VASP energy ... -7.9563 eV per atom
Energy of formation ... -0.092 eV per atom
Volume ... 271 Å³/cell
M_tot ... 34.5 μB/f.u.

a b c (Å): 6.5107 6.5107 6.5107
angles (deg): 83.50 83.50 83.50
Fractional coordinates of all 22 atoms:
Er1 0.1571 0.1571 0.1571
Er2 0.8429 0.8429 0.8429
Fe1 0.0000 0.5000 0.5000
Fe2 0.1603 0.1603 0.6512
Fe3 0.1603 0.6512 0.1603
Fe4 0.2212 0.5000 0.7788
Fe5 0.2212 0.7788 0.5000
Fe6 0.3488 0.8397 0.8397
Fe7 0.4034 0.4034 0.4034
Fe8 0.5000 0.0000 0.5000
Fe9 0.5000 0.2212 0.7788
Fe10 0.5000 0.5000 0.0000
Fe11 0.5000 0.7788 0.2212
Fe12 0.5966 0.5966 0.5966
Fe13 0.6512 0.1603 0.1603
Fe14 0.7788 0.2212 0.5000
Fe15 0.7788 0.5000 0.2212
Fe16 0.8397 0.3488 0.8397
Fe17 0.8397 0.8397 0.3488
B1 0.0000 0.0000 0.5000
B2 0.0000 0.5000 0.0000
B3 0.5000 0.0000 0.0000

11.
# Cd3AgN

Crystalline Cd3AgN at its relaxed geometry (PBE, Alexandria).

Space group ... No. 221
VASP energy ... -1.3827 eV per atom
Uncorrected formation energy ... 676 kJ/mol of formula units
Volume ... 141 Å³/cell
M_tot ... 0.0 μB/f.u.
E above lowest polymorph ... 4.72 eV per formula unit

a b c (Å): 5.2071 5.2071 5.2071
angles (deg): 90.00 90.00 90.00
Fractional coordinates of all 5 atoms:
Cd1 0.0000 0.0000 0.5000
Cd2 0.0000 0.5000 0.0000
Cd3 0.5000 0.0000 0.0000
Ag1 0.0000 0.0000 0.0000
N1 0.5000 0.5000 0.5000

12.
# Nd2SmDyTl4

Crystalline Nd2SmDyTl4 at its relaxed geometry (PBE, Alexandria).

Space group ... No. 166
VASP energy ... -3.9116 eV per atom
Energy of formation ... -0.371 eV per atom
Volume ... 232 Å³/cell
M_tot ... 0.0 μB/f.u.

a b c (Å): 9.4856 9.4856 9.4856
angles (deg): 33.50 33.50 33.50
Fractional coordinates of all 8 atoms:
Nd1 0.2504 0.2504 0.2504
Nd2 0.7496 0.7496 0.7496
Sm1 0.5000 0.5000 0.5000
Dy1 0.0000 0.0000 0.0000
Tl1 0.1242 0.1242 0.1242
Tl2 0.3743 0.3743 0.3743
Tl3 0.6257 0.6257 0.6257
Tl4 0.8758 0.8758 0.8758